ErTm4Cd: optimized geometry, PBE-GGA.

It has space group C2/c (No. 15), with a = 10.309 Å, b = 5.988 Å, c = 11.566 Å, α = 90.00°, β = 107.30° and γ = 90.00°. The asymmetric unit holds Er at (0.250, 0.250, 0.000), Tm at (0.081, 0.245, 0.500), Tm at (0.167, 0.418, 0.250) and Cd at (0.000, 0.084, 0.750).

The excess energy over the best structure of this formula in the dataset comes out at 0.071 eV/atom. The density of states at the Fermi level is 9.60 states/eV/f.u. The formation energy is -0.02 eV/atom. As for the total energy: -23.46 eV/f.u. The value obtained for the calculated volume is 28.4 Å³/atom.

---

AlZn2Hg2: optimized geometry, PBE-GGA.

It has space group P4/mbm (No. 127), with a = 7.772 Å, b = 7.772 Å, c = 3.448 Å, α = 90.00°, β = 90.00° and γ = 90.00°. The asymmetric unit holds Al at (0.000, 0.000, 0.000), Zn at (0.118, 0.382, 0.500) and Hg at (0.184, 0.684, 0.000).

The excess energy over the best structure of this formula in the dataset comes out at 0.053 eV/atom. The density of states at the Fermi level is 1.63 states/eV/f.u. The formation energy is 0.22 eV/atom. As for the total energy: -5.77 eV/f.u. The value obtained for the calculated volume is 20.8 Å³/atom.

---

Sr2MgCuHg: optimized geometry, PBE-GGA.

It has space group P4/mmm (No. 123), with a = 5.888 Å, b = 5.888 Å, c = 4.932 Å, α = 90.00°, β = 90.00° and γ = 90.00°. The asymmetric unit holds Sr at (0.000, 0.500, 0.000), Mg at (0.000, 0.000, 0.500), Cu at (0.000, 0.000, 0.000) and Hg at (0.500, 0.500, 0.500).

The density of states at the Fermi level is 3.42 states/eV/f.u. The formation energy is -0.09 eV/atom. As for the total energy: -9.83 eV/f.u. The value obtained for the calculated volume is 34.2 Å³/atom.

---

CaTmCdGa: optimized geometry, PBE-GGA.

It has space group F-43m (No. 216), with a = 7.340 Å, b = 7.340 Å, c = 7.340 Å, α = 90.00°, β = 90.00° and γ = 90.00°. The asymmetric unit holds Ca at (0.000, 0.000, 0.000), Tm at (0.000, 0.000, 0.500), Cd at (0.250, 0.250, 0.750) and Ga at (0.250, 0.250, 0.250).

The excess energy over the best structure of this formula in the dataset comes out at 0.021 eV/atom. The density of states at the Fermi level is 2.11 states/eV/f.u. The formation energy is -0.41 eV/atom. As for the total energy: -12.05 eV/f.u. The value obtained for the calculated volume is 24.7 Å³/atom.